Entry 1:
! WBr2 | Alexandria | PBE | optimized geometry; values from VASP
! Energy relative to the elements, uncorrected: -0.08 eV/atom
! Space group: No. 8
! Energy relative to the lowest polymorph listed for this composition: 0.387 eV per atom
! Volume: 87.63 Å³/f.u.
&SYSTEM
  ibrav = 0, nat = 6, ntyp = 2
/
ATOMIC_SPECIES
W 183.84 W.upf
Br 79.90 Br.upf
CELL_PARAMETERS angstrom
6.673 -1.653 0.000
6.673 1.653 0.000
-0.134 0.000 7.943
ATOMIC_POSITIONS angstrom
W 0.000 0.000 0.000
W 8.276 0.000 7.106
Br 1.539 0.000 5.051
Br 2.380 0.000 1.158
Br 5.813 0.000 1.936
Br 11.201 0.000 6.466

Entry 2:
! Pr4InPb2 | Alexandria | PBE | optimized geometry; values from VASP
! ΔH_f (0 K): -2.79 eV per formula unit
! Space group: No. 11
! Volume: 224.13 Å³/f.u.
&SYSTEM
  ibrav = 0, nat = 14, ntyp = 3
/
ATOMIC_SPECIES
Pr 140.91 Pr.upf
In 114.82 In.upf
Pb 207.20 Pb.upf
CELL_PARAMETERS angstrom
5.999 0.000 0.000
0.000 6.791 0.000
-1.975 0.000 11.003
ATOMIC_POSITIONS angstrom
Pr 0.590 1.698 1.365
Pr 0.594 5.093 4.923
Pr 0.485 0.097 8.099
Pr 0.485 3.298 8.099
Pr 3.539 3.493 2.904
Pr 3.539 6.694 2.904
Pr 3.431 1.698 6.079
Pr 3.435 5.093 9.637
In 0.268 5.093 1.872
In 3.757 1.698 9.130
Pb 0.453 1.698 4.744
Pb 2.479 5.093 0.002
Pb 1.545 1.698 11.001
Pb 3.572 5.093 6.258

Entry 3:
! K2Li3InBi4 | Alexandria | PBE | optimized geometry; values from VASP
! ΔH_f (0 K): -3.88 eV per formula unit
! Space group: No. 115
! Volume: 300.09 Å³/f.u.
&SYSTEM
  ibrav = 0, nat = 10, ntyp = 4
/
ATOMIC_SPECIES
K 39.10 K.upf
Li 6.94 Li.upf
In 114.82 In.upf
Bi 208.98 Bi.upf
CELL_PARAMETERS angstrom
4.828 0.000 0.000
0.000 4.828 0.000
0.000 0.000 12.874
ATOMIC_POSITIONS angstrom
K 0.000 2.414 3.184
K 2.414 0.000 9.690
Li 0.000 2.414 11.100
Li 2.414 0.000 1.773
Li 2.414 2.414 6.437
In 0.000 0.000 6.437
Bi 0.000 0.000 0.000
Bi 0.000 2.414 8.229
Bi 2.414 0.000 4.645
Bi 2.414 2.414 0.000

Entry 4:
! KMo2Cl | Alexandria | PBE | optimized geometry; values from VASP
! Energy relative to the elements, uncorrected: 0.66 eV/atom
! Space group: No. 71
! Energy relative to the lowest polymorph listed for this composition: 0.580 eV per atom
! Volume: 90.00 Å³/f.u.
&SYSTEM
  ibrav = 0, nat = 4, ntyp = 3
/
ATOMIC_SPECIES
K 39.10 K.upf
Mo 95.94 Mo.upf
Cl 35.45 Cl.upf
CELL_PARAMETERS angstrom
-1.560 2.140 6.741
1.560 -2.140 6.741
1.560 2.140 -6.741
ATOMIC_POSITIONS angstrom
K 0.000 0.000 0.000
Mo 1.560 0.000 3.676
Mo 0.000 2.140 3.065
Cl 0.000 0.000 6.741

Entry 5:
! InSiCl | Alexandria | PBE | optimized geometry; values from VASP
! Energy relative to the elements, uncorrected: -0.32 eV/atom
! Space group: No. 1
! Volume: 92.91 Å³/f.u.
&SYSTEM
  ibrav = 0, nat = 6, ntyp = 3
/
ATOMIC_SPECIES
In 114.82 In.upf
Si 28.09 Si.upf
Cl 35.45 Cl.upf
CELL_PARAMETERS angstrom
3.792 0.000 0.000
-1.890 6.037 0.000
-0.047 -2.945 8.118
ATOMIC_POSITIONS angstrom
In 0.000 0.000 0.000
In 0.020 3.266 2.757
Si -0.043 -0.399 7.357
Si 1.900 3.444 0.280
Cl -0.044 -0.379 5.234
Cl 1.894 0.249 1.953

Entry 6:
! BaMg2ZrTa | Alexandria | PBE | optimized geometry; values from VASP
! ΔH_f (0 K): 4.03 eV per formula unit
! Space group: No. 123
! Volume: 160.29 Å³/f.u.
&SYSTEM
  ibrav = 0, nat = 5, ntyp = 4
/
ATOMIC_SPECIES
Ba 137.33 Ba.upf
Mg 24.30 Mg.upf
Zr 91.22 Zr.upf
Ta 180.95 Ta.upf
CELL_PARAMETERS angstrom
5.677 0.000 0.000
0.000 5.677 0.000
0.000 0.000 4.974
ATOMIC_POSITIONS angstrom
Ba 0.000 0.000 0.000
Mg 0.000 2.838 2.487
Mg 2.838 0.000 2.487
Zr 2.838 2.838 2.487
Ta 2.838 2.838 0.000

Entry 7:
! CrPdC2I | Alexandria | PBE | optimized geometry; values from VASP
! Energy relative to the elements, uncorrected: 3.14 eV/atom
! Space group: No. 123
! Volume: 85.66 Å³/f.u.
&SYSTEM
  ibrav = 0, nat = 5, ntyp = 4
/
ATOMIC_SPECIES
Cr 52.00 Cr.upf
Pd 106.42 Pd.upf
C 12.01 C.upf
I 126.90 I.upf
CELL_PARAMETERS angstrom
4.223 0.000 0.000
0.000 4.223 0.000
0.000 0.000 4.803
ATOMIC_POSITIONS angstrom
Cr 0.000 0.000 0.000
Pd 2.111 2.111 0.000
C 0.000 2.111 2.402
C 2.111 0.000 2.402
I 0.000 0.000 2.402

Entry 8:
! SiGePt2Rh | Alexandria | PBE | optimized geometry; values from VASP
! Energy relative to the elements, uncorrected: 0.18 eV/atom
! Space group: No. 123
! Volume: 92.65 Å³/f.u.
&SYSTEM
  ibrav = 0, nat = 5, ntyp = 4
/
ATOMIC_SPECIES
Si 28.09 Si.upf
Ge 72.64 Ge.upf
Pt 195.08 Pt.upf
Rh 102.91 Rh.upf
CELL_PARAMETERS angstrom
4.556 0.000 0.000
0.000 4.556 0.000
0.000 0.000 4.463
ATOMIC_POSITIONS angstrom
Si 0.000 0.000 0.000
Ge 2.278 2.278 2.231
Pt 0.000 2.278 0.000
Pt 2.278 0.000 0.000
Rh 0.000 0.000 2.231

Entry 9:
! Ba12Ag5Pt2 | Alexandria | PBE | optimized geometry; values from VASP
! ΔH_f (0 K): -5.93 eV per formula unit
! Space group: No. 12
! Volume: 883.13 Å³/f.u.
&SYSTEM
  ibrav = 0, nat = 19, ntyp = 3
/
ATOMIC_SPECIES
Ba 137.33 Ba.upf
Ag 107.87 Ag.upf
Pt 195.08 Pt.upf
CELL_PARAMETERS angstrom
9.544 -4.511 0.000
9.544 4.511 0.000
-2.928 0.000 10.257
ATOMIC_POSITIONS angstrom
Ba -0.815 0.000 2.965
Ba 5.135 2.370 4.123
Ba 3.996 2.220 9.605
Ba 12.163 2.220 0.652
Ba 11.024 2.370 6.134
Ba 7.325 0.000 7.075
Ba 8.834 0.000 3.182
Ba 5.135 -2.370 4.123
Ba 3.996 -2.220 9.605
Ba 12.163 -2.220 0.652
Ba 11.024 -2.370 6.134
Ba 16.973 0.000 7.292
Ag 2.624 0.000 3.443
Ag 1.295 0.000 8.847
Ag 9.544 0.000 0.000
Ag 14.864 0.000 1.410
Ag 13.535 0.000 6.814
Pt 8.079 2.321 5.128
Pt 8.079 -2.321 5.128

Entry 10:
! LaY3Si | Alexandria | PBE | optimized geometry; values from VASP
! Energy relative to the elements, uncorrected: -0.07 eV/atom
! Space group: No. 221
! Energy relative to the lowest polymorph listed for this composition: 0.000 eV per atom
! Volume: 167.79 Å³/f.u.
&SYSTEM
  ibrav = 0, nat = 5, ntyp = 3
/
ATOMIC_SPECIES
La 138.91 La.upf
Y 88.91 Y.upf
Si 28.09 Si.upf
CELL_PARAMETERS angstrom
5.516 0.000 0.000
0.000 5.516 0.000
0.000 0.000 5.516
ATOMIC_POSITIONS angstrom
La 0.000 0.000 0.000
Y 0.000 2.758 2.758
Y 2.758 0.000 2.758
Y 2.758 2.758 0.000
Si 2.758 2.758 2.758

Entry 11:
! LaPm5Ir2 | Alexandria | PBE | optimized geometry; values from VASP
! ΔH_f (0 K): -2.96 eV per formula unit
! Space group: No. 71
! Volume: 252.96 Å³/f.u.
&SYSTEM
  ibrav = 0, nat = 8, ntyp = 3
/
ATOMIC_SPECIES
La 138.91 La.upf
Pm 145.00 Pm.upf
Ir 192.22 Ir.upf
CELL_PARAMETERS angstrom
-2.132 3.693 8.031
2.132 -3.693 8.031
2.132 3.693 -8.031
ATOMIC_POSITIONS angstrom
La 0.000 0.000 0.000
Pm 2.132 1.846 -2.587
Pm 2.132 1.846 2.587
Pm 0.000 3.693 0.000
Pm 0.000 1.848 5.445
Pm 0.000 1.848 10.618
Ir 2.132 0.000 5.070
Ir 0.000 3.693 2.961